[1]
## PdPt2WO (GGA+U)

Data for PdPt2WO after structural relaxation.

The structure belongs to space group P4/mmm (No. 123); the cell edges are 5.0392, 5.0392 and 3.6423 Å and the angles 90.00°, 90.00° and 90.00°. The distinct sites, in fractional coordinates, are Pd at (0.0000, 0.0000, 0.0000), Pt at (0.0000, 0.5000, 0.0000), W at (0.5000, 0.5000, 0.5000) and O at (0.0000, 0.0000, 0.5000).

---

[2]
## PdPtWO2 (GGA+U)

Data for PdPtWO2 after structural relaxation.

The structure belongs to space group P4/mmm (No. 123); the cell edges are 3.9354, 3.9354 and 5.2961 Å and the angles 90.00°, 90.00° and 90.00°. The distinct sites, in fractional coordinates, are Pd at (0.0000, 0.0000, 0.0000), Pt at (0.0000, 0.0000, 0.5000), W at (0.5000, 0.5000, 0.0000) and O at (0.0000, 0.5000, 0.5000).

---

Sequential E_tot output: -4.90; -5.09 eV/atom
Sequential volume output: 18.5; 16.4 A^3/atom